Material: LaHg5
Method: DFT, PBE-GGA
State: relaxed

a b c (Å): 10.1022 3.9875 3.9875
angles (deg): 90.00 90.00 90.00
Closest atoms and distances in Å follow each position.
Positions (direct):
Hg  0.6517  0.0000  0.0000  5 Hg 3.22-3.23, 4 La 3.36
Hg  0.3333  0.0000  0.0000  10 Hg 3.22-3.26
La  0.8333  0.5000  0.5000  10 Hg 3.36-3.41
Hg  0.0150  0.0000  0.0000  5 Hg 3.22-3.23, 4 La 3.36
Hg  0.4953  0.5000  0.5000  9 Hg 3.23-3.27, 1 La 3.41
Hg  0.1713  0.5000  0.5000  9 Hg 3.23-3.27, 1 La 3.41

## Properties
The crystal system is tetragonal. Its space-group type is P4/mmm, No. 123. The calculation puts the density of states at the Fermi level at 4.0 states/eV/f.u. As for the calculated density: 11.805 g/cm³. The formation enthalpy at 0 K is -0.2110 eV/atom.

---

Material: InTePd2
Method: DFT, PBE-GGA
State: relaxed

a b c (Å): 3.4332 3.4332 6.5522
angles (deg): 90.00 90.00 90.00
Closest atoms and distances in Å follow each position.
Positions (direct):
Te  0.5000  0.5000  0.5000  8 Pd 3.01, 2 In 3.28
Pd  0.0000  0.0000  0.7708  4 In 2.85, 1 Pd 3.00, 4 Te 3.01
In  0.5000  0.5000  0.0000  8 Pd 2.85
Pd  0.0000  0.0000  0.2292  4 In 2.85, 1 Pd 3.00, 4 Te 3.01

## Properties
The crystal system is tetragonal. Its space-group type is P4/mmm, No. 123. The calculation puts the density of states at the Fermi level at 1.6 states/eV/f.u. As for the calculated density: 9.788 g/cm³. The formation energy (no corrections) comes out at -0.298 eV/atom. The calculation puts the offset from the most stable computed form at 142 meV/atom.

---

Material: Mg2ReRh
Method: DFT, PBE-GGA
State: relaxed

a b c (Å): 5.0569 5.0569 5.0569
angles (deg): 135.01 135.01 65.51
Closest atoms and distances in Å follow each position.
Positions (direct):
Rh  0.7500  0.2500  0.5000  4 Re 2.74, 8 Mg 2.87
Mg  0.0000  0.0000  0.0000  4 Mg 2.74, 4 Re 2.87, 4 Rh 2.87
Mg  0.5000  0.5000  0.0000  4 Mg 2.74, 4 Re 2.87, 4 Rh 2.87
Re  0.2500  0.7500  0.5000  4 Rh 2.74, 8 Mg 2.87

## Properties
The crystal system is tetragonal. Its space-group type is I4/mmm, No. 139. The calculation puts the density of states at the Fermi level at 3.7 states/eV/f.u. As for the calculated density: 8.808 g/cm³. The formation enthalpy at 0 K is 0.2424 eV/atom. The calculation puts the offset from the most stable computed form at 308 meV/atom.

---

Material: Pm12Cu5Sb3
Method: DFT, PBE-GGA
State: relaxed

a b c (Å): 14.9722 14.9722 14.9722
angles (deg): 109.47 109.47 109.47
Closest atoms and distances in Å follow each position.
Positions (direct):
Pm  0.8273  0.9112  0.2889  2 Cu 2.71-2.81
Pm  0.1222  0.7111  0.5384  2 Cu 2.71-2.81
Pm  0.1727  0.0838  0.9616  2 Cu 2.71-2.81
Pm  0.7111  0.5888  0.1727  2 Cu 2.71-2.81
Cu  0.5000  0.0000  0.0000  6 Pm 2.81
Pm  0.4162  0.0384  0.3273  2 Cu 2.71-2.81
Pm  0.9616  0.3778  0.2889  2 Cu 2.71-2.81
Pm  0.4616  0.7889  0.8778  2 Cu 2.71-2.81
Cu  0.0000  0.5000  0.5000  6 Pm 2.81
Sb  0.7500  0.8750  0.6250  8 Pm 3.27-3.33
Pm  0.1727  0.0888  0.7111  2 Cu 2.71-2.81
Pm  0.6727  0.2111  0.5888  2 Cu 2.71-2.81
Cu  0.1250  0.3750  0.2500  4 Pm 2.71
Pm  0.3778  0.9616  0.7889  2 Cu 2.71-2.81
Pm  0.5888  0.7111  0.6727  2 Cu 2.71-2.81
Pm  0.9162  0.8273  0.5384  2 Cu 2.71-2.81
Sb  0.3750  0.6250  0.2500  8 Pm 3.27-3.33
Sb  0.2500  0.6250  0.8750  8 Pm 3.27-3.33
Pm  0.8273  0.9162  0.0384  2 Cu 2.71-2.81
Pm  0.8778  0.5888  0.9162  2 Cu 2.71-2.81
Sb  0.1250  0.8750  0.7500  8 Pm 3.27-3.33
Pm  0.8778  0.2889  0.4616  2 Cu 2.71-2.81
Pm  0.5384  0.3273  0.9162  2 Cu 2.71-2.81
Pm  0.9112  0.8273  0.7889  2 Cu 2.71-2.81
Pm  0.7889  0.3273  0.9112  2 Cu 2.71-2.81
Cu  0.0000  0.0000  0.5000  6 Pm 2.81
Pm  0.3778  0.4162  0.0888  2 Cu 2.71-2.81
Cu  0.2500  0.8750  0.1250  4 Pm 2.71
Pm  0.7111  0.1222  0.0384  2 Cu 2.71-2.81
Sb  0.6250  0.2500  0.3750  8 Pm 3.27-3.33
Pm  0.0888  0.1727  0.2111  2 Cu 2.71-2.81
Cu  0.3750  0.2500  0.1250  4 Pm 2.71
Sb  0.8750  0.1250  0.2500  8 Pm 3.27-3.33
Pm  0.9616  0.5838  0.1727  2 Cu 2.71-2.81
Pm  0.0384  0.4162  0.8273  2 Cu 2.71-2.81
Pm  0.4616  0.6727  0.0838  2 Cu 2.71-2.81
Cu  0.8750  0.2500  0.6250  4 Pm 2.71
Cu  0.0000  0.5000  0.0000  6 Pm 2.81
Pm  0.0838  0.9112  0.1222  2 Cu 2.71-2.81
Pm  0.3273  0.5384  0.4162  2 Cu 2.71-2.81
Cu  0.1250  0.7500  0.3750  4 Pm 2.71
Pm  0.5888  0.8778  0.4162  2 Cu 2.71-2.81
Pm  0.3273  0.7889  0.4112  2 Cu 2.71-2.81
Sb  0.6250  0.3750  0.7500  8 Pm 3.27-3.33
Pm  0.6222  0.5838  0.9112  2 Cu 2.71-2.81
Pm  0.5838  0.9616  0.6727  2 Cu 2.71-2.81
Cu  0.7500  0.6250  0.3750  4 Pm 2.71
Pm  0.2111  0.6727  0.0888  2 Cu 2.71-2.81
Cu  0.6250  0.7500  0.8750  4 Pm 2.71
Cu  0.5000  0.0000  0.5000  6 Pm 2.81
Pm  0.4112  0.2889  0.3273  2 Cu 2.71-2.81
Pm  0.2889  0.4112  0.8273  2 Cu 2.71-2.81
Pm  0.2111  0.5384  0.6222  2 Cu 2.71-2.81
Sb  0.3750  0.7500  0.6250  8 Pm 3.27-3.33
Pm  0.1222  0.4112  0.0838  2 Cu 2.71-2.81
Pm  0.4112  0.1222  0.5838  2 Cu 2.71-2.81
Pm  0.5384  0.2111  0.1222  2 Cu 2.71-2.81
Pm  0.9162  0.0888  0.8778  2 Cu 2.71-2.81
Pm  0.2889  0.8778  0.9616  2 Cu 2.71-2.81
Sb  0.8750  0.7500  0.1250  8 Pm 3.27-3.33
Sb  0.2500  0.1250  0.3750  8 Pm 3.27-3.33
Cu  0.6250  0.8750  0.2500  4 Pm 2.71
Cu  0.5000  0.5000  0.5000  6 Pm 2.81
Pm  0.0888  0.9162  0.3778  2 Cu 2.71-2.81
Pm  0.6727  0.4616  0.5838  2 Cu 2.71-2.81
Cu  0.8750  0.6250  0.7500  4 Pm 2.71
Pm  0.7889  0.4616  0.3778  2 Cu 2.71-2.81
Pm  0.4162  0.3778  0.5888  2 Cu 2.71-2.81
Pm  0.6222  0.0384  0.2111  2 Cu 2.71-2.81
Cu  0.2500  0.3750  0.6250  4 Pm 2.71
Pm  0.9112  0.0838  0.6222  2 Cu 2.71-2.81
Cu  0.0000  0.0000  0.0000  6 Pm 2.81
Pm  0.0384  0.6222  0.7111  2 Cu 2.71-2.81
Cu  0.3750  0.1250  0.7500  4 Pm 2.71
Cu  0.7500  0.1250  0.8750  4 Pm 2.71
Sb  0.1250  0.2500  0.8750  8 Pm 3.27-3.33
Cu  0.5000  0.5000  0.0000  6 Pm 2.81
Pm  0.5838  0.6222  0.4112  2 Cu 2.71-2.81
Pm  0.0838  0.1727  0.4616  2 Cu 2.71-2.81
Sb  0.7500  0.3750  0.1250  8 Pm 3.27-3.33

## Properties
The crystal system is cubic. Its space-group type is Ia-3d, No. 230. The calculation puts the density of states at the Fermi level at 28.0 states/eV/f.u. As for the calculated density: 6.229 g/cm³. The formation energy (no corrections) comes out at -0.086 eV/atom.

---

Material: BeCdSe
Method: DFT, PBE-GGA
State: relaxed

a b c (Å): 4.3716 4.3716 4.3716
angles (deg): 60.00 60.00 60.00
Closest atoms and distances in Å follow each position.
Positions (direct):
Se  0.5000  0.5000  0.5000  4 Be 2.68
Be  0.7500  0.7500  0.7500  4 Cd 2.68, 4 Se 2.68
Cd  0.0000  0.0000  0.0000  4 Be 2.68

## Properties
The crystal system is cubic. Its space-group type is F-43m, No. 216. As for the calculated density: 5.633 g/cm³. The formation energy (no corrections) comes out at 0.253 eV/atom. The calculation puts the offset from the most stable computed form at 478 meV/atom.

---

Material: LaReHg
Method: DFT, PBE-GGA
State: relaxed

a b c (Å): 6.8469 6.8498 3.2781
angles (deg): 76.10 76.20 27.69
Closest atoms and distances in Å follow each position.
Positions (direct):
Re  0.6597  0.6597  0.3403  4 Hg 2.91-2.92, 4 La 3.08-3.09
La  0.3178  0.3178  0.6822  4 Re 3.08-3.09, 4 La 3.28
Hg  0.0226  0.0226  0.9774  4 Re 2.91-2.92

## Properties
The crystal system is orthorhombic. Its space-group type is Fmm2, No. 42. The calculation puts the density of states at the Fermi level at 2.5 states/eV/f.u. As for the calculated density: 12.606 g/cm³. The formation enthalpy at 0 K is 0.5506 eV/atom. The calculation puts the offset from the most stable computed form at 12 meV/atom.

---

Material: Pu2Ga12Pt
Method: DFT, PBE-GGA
State: relaxed

a b c (Å): 6.0888 6.0888 15.5907
angles (deg): 90.00 90.00 90.00
Closest atoms and distances in Å follow each position.
Positions (direct):
Pu  0.0000  0.5000  0.2428  14 Ga 3.16-3.44
Ga  0.6706  0.8294  0.5702  3 Ga 2.58-2.62
Ga  0.8294  0.3294  0.5702  3 Ga 2.58-2.62
Ga  0.2499  0.2501  0.9088  2 Pt 2.58, 3 Ga 2.64-2.84
Ga  0.3294  0.8294  0.4298  3 Ga 2.58-2.62
Ga  0.6706  0.1706  0.4298  3 Ga 2.58-2.62
Ga  0.1706  0.3294  0.4298  3 Ga 2.58-2.62
Ga  0.1706  0.6706  0.5702  3 Ga 2.58-2.62
Pu  0.5000  0.0000  0.7572  14 Ga 3.16-3.44
Ga  0.7499  0.7501  0.0912  2 Pt 2.58, 3 Ga 2.64-2.84
Ga  0.5000  0.5000  0.1894  5 Ga 2.43-2.64
Ga  0.5000  0.5000  0.3449  5 Ga 2.43-2.62
Ga  0.0000  0.0000  0.3449  5 Ga 2.43-2.62
Ga  0.7499  0.2499  0.9088  2 Pt 2.58, 3 Ga 2.64-2.84
Ga  0.2501  0.2499  0.0912  2 Pt 2.58, 3 Ga 2.64-2.84
Ga  0.7501  0.7499  0.9088  2 Pt 2.58, 3 Ga 2.64-2.84
Pt  0.0000  0.5000  0.0000  8 Ga 2.58
Ga  0.2499  0.7499  0.0912  2 Pt 2.58, 3 Ga 2.64-2.84
Ga  0.3294  0.1706  0.5702  3 Ga 2.58-2.62
Pt  0.5000  0.0000  0.0000  8 Ga 2.58
Ga  0.8294  0.6706  0.4298  3 Ga 2.58-2.62
Ga  0.7501  0.2501  0.0912  2 Pt 2.58, 3 Ga 2.64-2.84
Ga  0.5000  0.5000  0.8106  5 Ga 2.43-2.64
Ga  0.5000  0.5000  0.6551  5 Ga 2.43-2.62
Ga  0.0000  0.0000  0.1894  5 Ga 2.43-2.64
Pu  0.5000  0.0000  0.2428  14 Ga 3.16-3.44
Ga  0.0000  0.0000  0.6551  5 Ga 2.43-2.62
Pu  0.0000  0.5000  0.7572  14 Ga 3.16-3.44
Ga  0.2501  0.7501  0.9088  2 Pt 2.58, 3 Ga 2.64-2.84
Ga  0.0000  0.0000  0.8106  5 Ga 2.43-2.64

## Properties
The crystal system is tetragonal. Its space-group type is P4/nbm, No. 125. The calculation puts the density of states at the Fermi level at 26.3 states/eV/f.u. As for the calculated density: 8.732 g/cm³. The formation enthalpy at 0 K is -0.3360 eV/atom.

---

Material: Tm6SnGe2Se3
Method: DFT, PBE-GGA
State: relaxed

a b c (Å): 4.0929 8.3123 9.2351
angles (deg): 103.07 102.80 90.00
Closest atoms and distances in Å follow each position.
Positions (direct):
Tm  0.0043  0.2600  0.0087  1 Ge 2.84, 3 Se 2.87-2.98, 2 Sn 2.96
Ge  0.1665  0.3345  0.3331  6 Tm 2.83-2.85
Ge  0.8335  0.6655  0.6669  6 Tm 2.83-2.85
Tm  0.6718  0.5748  0.3436  3 Ge 2.83-2.85, 3 Se 2.98-3.01
Se  0.8341  0.1677  0.6683  6 Tm 2.88-3.00
Tm  0.3282  0.4252  0.6564  3 Ge 2.83-2.85, 3 Se 2.98-3.01
Sn  0.5000  0.0000  0.0000  6 Tm 2.96-2.98
Tm  0.6699  0.0986  0.3398  2 Ge 2.84, 3 Se 2.88-3.00, 1 Sn 2.98
Se  0.5000  0.5000  0.0000  6 Tm 2.87-3.01
Tm  0.3301  0.9014  0.6602  2 Ge 2.84, 3 Se 2.88-3.00, 1 Sn 2.98
Se  0.1659  0.8323  0.3317  6 Tm 2.88-3.00
Tm  0.9957  0.7400  0.9913  1 Ge 2.84, 3 Se 2.87-2.98, 2 Sn 2.96

## Properties
The crystal system is monoclinic. Its space-group type is C2/m, No. 12. The calculation puts the density of states at the Fermi level at 2.8 states/eV/f.u. As for the calculated density: 8.438 g/cm³. The formation energy (no corrections) comes out at -1.274 eV/atom.

---

Material: Na2ScGaI6
Method: DFT, PBE-GGA
State: relaxed

a b c (Å): 7.9377 7.9371 8.4899
angles (deg): 62.11 62.11 59.98
Closest atoms and distances in Å follow each position.
Positions (direct):
I  0.1134  0.4146  0.7689  1 Sc 2.93, 1 Na 3.20, 1 Ga 3.22
Ga  0.8190  0.8190  0.5429  6 I 3.22-3.41
I  0.7033  0.1134  0.7688  1 Sc 2.93, 1 Na 3.20, 1 Ga 3.22
Sc  0.3278  0.3278  0.0165  6 I 2.90-2.93
I  0.2302  0.9601  0.2436  1 Sc 2.90, 1 Na 3.23
Na  0.5195  0.5194  0.4416  6 I 3.23-3.31
I  0.4145  0.7033  0.7687  1 Sc 2.93, 1 Na 3.20, 1 Ga 3.22
I  0.5659  0.2301  0.2436  1 Sc 2.90, 1 Na 3.23
Na  0.0077  0.0078  0.9769  6 I 3.20-3.27
I  0.9601  0.5661  0.2437  1 Sc 2.90, 1 Na 3.23

## Properties
The crystal system is trigonal. Its space-group type is R3, No. 146. The calculation puts the density of states at the Fermi level at 0.0 states/eV/f.u. As for the calculated density: 3.928 g/cm³. The formation energy (no corrections) comes out at -1.044 eV/atom.

---

- Which value of calculated density does entry 5 give?
  5.633 g/cm³